Record 1
! Na3HoNp2Se6 (GGA-PBE, optimized geometry); values from VASP
&SYSTEM
  ibrav = 0, nat = 12, ntyp = 4
/
ATOMIC_SPECIES
Na 22.99 Na.upf
Ho 164.93 Ho.upf
Np 237.00 Np.upf
Se 78.96 Se.upf
ATOMIC_POSITIONS angstrom
Na 1.857 -3.923 -4.076
Na 2.051 -3.611 4.266
Na 1.954 -3.767 0.095
Ho 0.000 0.000 0.000
Np -1.745 -3.265 -1.927
Np -1.647 -3.109 2.244
Se 3.091 -5.645 2.208
Se -0.849 -5.027 0.208
Se 0.817 -1.888 -2.017
Se 2.995 -5.800 -1.922
Se 4.757 -2.507 -0.017
Se 0.913 -1.734 2.113
CELL_PARAMETERS angstrom
-1.551 -2.953 6.412
-1.842 -3.421 -6.095
7.300 -1.160 -0.127
! Formation energy from raw total energies = -130.96 kJ per mole of atoms
! D(E_F) = 22.020 states/eV/f.u.
! SG = No. 12

***

Record 2
! Na2HoNp3Se6 (GGA-PBE, optimized geometry); values from VASP
&SYSTEM
  ibrav = 0, nat = 12, ntyp = 4
/
ATOMIC_SPECIES
Na 22.99 Na.upf
Ho 164.93 Ho.upf
Np 237.00 Np.upf
Se 78.96 Se.upf
ATOMIC_POSITIONS angstrom
Na 0.015 4.135 0.005
Na 3.574 2.080 0.005
Ho 0.000 0.000 0.000
Np -2.346 4.121 3.404
Np 4.742 0.027 3.404
Np 1.198 2.074 3.404
Se 3.560 2.126 5.105
Se 2.425 4.199 1.739
Se -1.164 2.023 1.704
Se 0.062 4.146 5.105
Se -0.029 -0.051 5.070
Se 2.334 0.003 1.704
CELL_PARAMETERS angstrom
7.170 0.003 0.005
-3.581 6.212 0.005
-1.193 -2.066 6.798
! Formation energy from raw total energies = -123.51 kJ per mole of atoms
! D(E_F) = 28.766 states/eV/f.u.
! SG = No. 12